Compound: Tc2SbBr
Source: the Alexandria database
Functional: PBE
Structure: optimized geometry

## Properties
Formation energy without anion corrections = 15 kJ per mole of atoms
Energy relative to the lowest polymorph listed for this composition = 56 meV/atom

a b c (Å): 3.038 3.038 9.082
angles (deg): 90.00 90.00 90.00
Fractional positions:
Tc 0.000 0.000 0.000
Tc 0.500 0.500 0.178
Sb 0.500 0.500 0.789
Br 0.000 0.000 0.371

---

Compound: Tb6SiGe2Se3
Source: the Alexandria database
Functional: PBE
Structure: optimized geometry

## Properties
Formation energy without anion corrections = -132 kJ per mole of atoms

a b c (Å): 9.295 9.295 8.320
angles (deg): 103.62 103.62 25.75
Fractional positions:
Tb 0.002 0.002 0.242
Tb 0.331 0.331 0.423
Tb 0.337 0.337 0.911
Tb 0.663 0.663 0.089
Tb 0.669 0.669 0.577
Tb 0.998 0.998 0.758
Si 0.500 0.500 0.000
Ge 0.167 0.167 0.333
Ge 0.833 0.833 0.667
Se 0.167 0.167 0.833
Se 0.500 0.500 0.500
Se 0.833 0.833 0.167

---

Compound: CeTh2Sc8
Source: the Alexandria database
Functional: PBE
Structure: optimized geometry

## Properties
Energy of formation = 200 kJ/mol of formula units

a b c (Å): 9.707 9.707 5.152
angles (deg): 92.35 92.35 38.98
Fractional positions:
Ce 0.000 0.000 0.000
Th 0.281 0.281 0.746
Th 0.719 0.719 0.254
Sc 0.138 0.608 0.270
Sc 0.177 0.177 0.231
Sc 0.392 0.862 0.730
Sc 0.453 0.453 0.764
Sc 0.547 0.547 0.236
Sc 0.608 0.138 0.270
Sc 0.823 0.823 0.769
Sc 0.862 0.392 0.730

---

Compound: CsBiO2F
Source: the Alexandria database
Functional: PBE
Structure: optimized geometry

## Properties
Formation energy without anion corrections = 5 kJ per mole of atoms

a b c (Å): 4.555 4.555 5.105
angles (deg): 90.00 90.00 90.00
Fractional positions:
Cs 0.000 0.000 0.000
Bi 0.500 0.500 0.500
O 0.000 0.500 0.000
O 0.500 0.000 0.000
F 0.000 0.000 0.500

---

Compound: CsLaHRhS
Source: the Alexandria database
Functional: PBE
Structure: optimized geometry

## Properties
Energy relative to the lowest polymorph listed for this composition = 0 meV/atom

a b c (Å): 3.873 3.873 8.032
angles (deg): 90.00 90.03 90.00
Fractional positions:
Cs 0.000 0.000 0.000
La 0.004 0.000 0.491
H 0.500 0.500 0.838
Rh 0.502 0.500 0.632
S 0.504 0.500 0.323

---

Compound: NdEr2Ga2
Source: the Alexandria database
Functional: PBE
Structure: optimized geometry

## Properties
Energy relative to the lowest polymorph listed for this composition = 93 meV/atom
Energy of formation = -173 kJ/mol of formula units

a b c (Å): 5.367 4.304 11.667
angles (deg): 90.00 93.55 90.00
Fractional positions:
Nd 0.168 0.250 0.237
Nd 0.832 0.750 0.763
Er 0.244 0.750 0.476
Er 0.359 0.250 0.889
Er 0.641 0.750 0.111
Er 0.756 0.250 0.524
Ga 0.138 0.750 0.025
Ga 0.270 0.250 0.646
Ga 0.730 0.750 0.354
Ga 0.862 0.250 0.975

---

Compound: ZnMo2As
Source: the Alexandria database
Functional: PBE
Structure: optimized geometry

## Properties
Energy relative to the lowest polymorph listed for this composition = 341 meV/atom
Energy of formation = 142 kJ/mol of formula units

a b c (Å): 3.766 3.766 18.821
angles (deg): 90.00 90.00 90.00
Fractional positions:
Zn 0.000 0.000 0.000
Zn 0.000 0.500 0.250
Zn 0.500 0.000 0.750
Zn 0.500 0.500 0.500
Mo 0.232 0.250 0.125
Mo 0.250 0.732 0.375
Mo 0.250 0.768 0.875
Mo 0.268 0.250 0.625
Mo 0.732 0.750 0.625
Mo 0.750 0.232 0.875
Mo 0.750 0.268 0.375
Mo 0.768 0.750 0.125
As 0.000 0.000 0.500
As 0.000 0.500 0.750
As 0.500 0.000 0.250
As 0.500 0.500 0.000

---

Compound: Ce6Bi3SbTe2
Source: the Alexandria database
Functional: PBE
Structure: optimized geometry

## Properties
Formation energy without anion corrections = -99 kJ per mole of atoms

a b c (Å): 10.164 10.164 9.067
angles (deg): 102.37 102.37 26.00
Fractional positions:
Ce 0.000 0.000 0.245
Ce 0.000 0.000 0.755
Ce 0.333 0.333 0.419
Ce 0.335 0.335 0.916
Ce 0.665 0.665 0.084
Ce 0.667 0.667 0.581
Bi 0.168 0.168 0.833
Bi 0.500 0.500 0.500
Bi 0.832 0.832 0.167
Sb 0.500 0.500 0.000
Te 0.167 0.167 0.333
Te 0.833 0.833 0.667

---

Compound: K4MnS4
Source: the Alexandria database
Functional: PBE
Structure: optimized geometry

## Properties
Formation energy without anion corrections = -86 kJ per mole of atoms
Energy relative to the lowest polymorph listed for this composition = 97 meV/atom

a b c (Å): 8.068 8.068 8.068
angles (deg): 124.86 124.86 81.77
Fractional positions:
K 0.000 0.500 0.500
K 0.198 0.198 0.000
K 0.500 0.000 0.500
K 0.802 0.802 0.000
Mn 0.500 0.500 0.000
S 0.224 0.575 0.000
S 0.425 0.425 0.650
S 0.575 0.224 0.000
S 0.776 0.776 0.350

---

Compound: Zr5Sn3
Source: the Alexandria database
Functional: PBE
Structure: optimized geometry

## Properties
Energy of formation = -438 kJ/mol of formula units

a b c (Å): 8.539 8.539 5.808
angles (deg): 90.00 90.00 120.00
Fractional positions:
Zr 0.000 0.248 0.250
Zr 0.000 0.752 0.750
Zr 0.248 0.000 0.250
Zr 0.248 0.248 0.750
Zr 0.333 0.667 0.000
Zr 0.333 0.667 0.500
Zr 0.667 0.333 0.000
Zr 0.667 0.333 0.500
Zr 0.752 0.000 0.750
Zr 0.752 0.752 0.250
Sn 0.000 0.392 0.750
Sn 0.000 0.608 0.250
Sn 0.392 0.000 0.750
Sn 0.392 0.392 0.250
Sn 0.608 0.000 0.250
Sn 0.608 0.608 0.750

---

Compound: Li3SmTl2
Source: the Alexandria database
Functional: PBE
Structure: optimized geometry

## Properties
Energy of formation = -147 kJ/mol of formula units

a b c (Å): 7.673 7.673 9.206
angles (deg): 118.93 118.93 35.26
Fractional positions:
Li 0.053 0.053 0.395
Li 0.257 0.257 0.429
Li 0.407 0.407 0.318
Li 0.593 0.593 0.682
Li 0.743 0.743 0.571
Li 0.947 0.947 0.605
Sm 0.133 0.133 0.005
Sm 0.867 0.867 0.995
Tl 0.212 0.212 0.740
Tl 0.440 0.440 0.790
Tl 0.560 0.560 0.210
Tl 0.788 0.788 0.260

---

Compound: Ac8PrPb2
Source: the Alexandria database
Functional: PBE
Structure: optimized geometry

## Properties
Energy of formation = -106 kJ/mol of formula units

a b c (Å): 9.782 9.782 6.895
angles (deg): 93.52 93.52 44.77
Fractional positions:
Ac 0.084 0.084 0.388
Ac 0.149 0.651 0.109
Ac 0.292 0.292 0.652
Ac 0.349 0.851 0.891
Ac 0.651 0.149 0.109
Ac 0.708 0.708 0.348
Ac 0.851 0.349 0.891
Ac 0.916 0.916 0.612
Pr 0.500 0.500 0.500
Pb 0.241 0.241 0.154
Pb 0.759 0.759 0.846